<one>
Computed, not measured: a relaxed structure of WC at the PBE-GGA level of DFT.

Values from the calculation:
- size of the total moment (Bohr magnetons per cell) = 0.000

abc: 5.3172 5.3172 3.0864
angles: 90.00 90.00 120.00
Fractional coordinates of all 6 atoms:
W1 0.5000 0.0000 0.0000
W2 0.0000 0.5000 0.0000
W3 0.5000 0.5000 0.0000
C1 0.0000 0.0000 0.0000
C2 0.3333 0.6667 0.5000
C3 0.6667 0.3333 0.5000

<two>
Computed, not measured: a relaxed structure of WC at the PBE-GGA level of DFT.

Values from the calculation:
- size of the total moment (Bohr magnetons per cell) = 0.000

abc: 2.7349 2.7349 2.7349
angles: 90.00 90.00 90.00
Fractional coordinates of all 2 atoms:
C1 0.5000 0.5000 0.5000
W1 0.0000 0.0000 0.0000

Which structure loses on stability? <one> does.

<one>
Computed, not measured: a relaxed structure of WC at the PBE-GGA level of DFT.

Values from the calculation:
- size of the total moment (Bohr magnetons per cell) = 0.000

abc: 4.0260 4.0260 6.3775
angles: 71.53 71.53 41.91
Fractional coordinates of all 6 atoms:
W1 0.6380 0.6380 0.7307
W2 0.9802 0.9802 0.3828
W3 0.7953 0.7953 0.0603
C1 0.0914 0.0914 0.0083
C2 0.2829 0.2829 0.3175
C3 0.3790 0.3790 0.6670

<two>
Computed, not measured: a relaxed structure of WC at the PBE-GGA level of DFT.

Values from the calculation:
- size of the total moment (Bohr magnetons per cell) = 0.000

abc: 4.1111 4.1111 3.8766
angles: 90.00 90.00 139.63
Fractional coordinates of all 4 atoms:
C1 0.6004 0.3996 0.7500
C2 0.3996 0.6004 0.2500
W1 0.8829 0.1171 0.7500
W2 0.1171 0.8829 0.2500

<three>
Computed, not measured: a relaxed structure of WC at the PBE-GGA level of DFT.

Values from the calculation:
- size of the total moment (Bohr magnetons per cell) = 0.002

abc: 7.9336 7.9336 7.9336
angles: 22.68 22.68 22.68
Fractional coordinates of all 4 atoms:
C1 0.9653 0.9653 0.9653
C2 0.7847 0.7847 0.7847
W1 0.4891 0.4891 0.4891
W2 0.2609 0.2609 0.2609

<four>
Computed, not measured: a relaxed structure of WC at the PBE-GGA level of DFT.

Values from the calculation:
- size of the total moment (Bohr magnetons per cell) = 0.000

abc: 5.5475 5.5645 5.5645
angles: 148.77 148.72 44.83
Fractional coordinates of all 4 atoms:
C1 0.3762 0.6250 0.2512
C2 0.6238 0.3750 0.7488
W1 0.8757 0.1250 0.2508
W2 0.1243 0.8750 0.7492

Which structure loses on stability? <three> does.

<one>
Computed, not measured: a relaxed structure of WC at the PBE-GGA level of DFT.

Values from the calculation:
- size of the total moment (Bohr magnetons per cell) = 0.000

abc: 4.0927 4.0927 4.0927
angles: 60.00 60.00 60.00
Fractional coordinates of all 4 atoms:
C1 0.0000 0.0000 0.0000
C2 0.2500 0.2500 0.2500
W1 0.5000 0.5000 0.5000
W2 0.7500 0.7500 0.7500

<two>
Computed, not measured: a relaxed structure of WC at the PBE-GGA level of DFT.

Values from the calculation:
- size of the total moment (Bohr magnetons per cell) = 0.000

abc: 4.2764 4.2764 4.2156
angles: 90.00 90.00 90.00
Fractional coordinates of all 6 atoms:
W1 0.5000 0.5000 0.5000
W2 0.5000 0.0000 0.0000
W3 0.0000 0.5000 0.0000
C1 0.5000 0.5000 0.0000
C2 0.0000 0.5000 0.5000
C3 0.5000 0.0000 0.5000

<three>
Computed, not measured: a relaxed structure of WC at the PBE-GGA level of DFT.

Values from the calculation:
- size of the total moment (Bohr magnetons per cell) = 0.000

abc: 6.9404 6.9404 4.2773
angles: 90.00 90.00 90.00
Fractional coordinates of all 16 atoms:
W1 0.3256 0.1232 0.0000
W2 0.6744 0.8768 0.0000
W3 0.8768 0.3256 0.0000
W4 0.1232 0.6744 0.0000
W5 0.8256 0.6232 0.5000
W6 0.1744 0.3768 0.5000
W7 0.3768 0.8256 0.5000
W8 0.6232 0.1744 0.5000
C1 0.3995 0.7929 0.0000
C2 0.6005 0.2071 0.0000
C3 0.2071 0.3995 0.0000
C4 0.7929 0.6005 0.0000
C5 0.8995 0.2929 0.5000
C6 0.1005 0.7071 0.5000
C7 0.7071 0.8995 0.5000
C8 0.2929 0.1005 0.5000

Which structure loses on stability? <one> does.

<one>
Computed, not measured: a relaxed structure of WC at the PBE-GGA level of DFT.

Values from the calculation:
- size of the total moment (Bohr magnetons per cell) = 0.000

abc: 5.2366 5.2366 2.8895
angles: 90.00 90.00 120.00
Fractional coordinates of all 6 atoms:
W1 0.0000 0.0000 0.0000
W2 0.3333 0.6667 0.5000
W3 0.6667 0.3333 0.5000
C1 0.5000 0.0000 0.0000
C2 0.0000 0.5000 0.0000
C3 0.5000 0.5000 0.0000

<two>
Computed, not measured: a relaxed structure of WC at the PBE-GGA level of DFT.

Values from the calculation:
- size of the total moment (Bohr magnetons per cell) = 0.000

abc: 2.9993 8.6331 6.0231
angles: 90.00 90.00 90.00
Fractional coordinates of all 12 atoms:
W1 0.0000 0.2707 0.8753
W2 0.0000 0.7293 0.8753
W3 0.0000 0.7707 0.3753
W4 0.0000 0.2293 0.3753
W5 0.5000 0.0000 0.6343
W6 0.5000 0.5000 0.1343
C1 0.5000 0.7451 0.6222
C2 0.5000 0.2549 0.6222
C3 0.5000 0.2451 0.1222
C4 0.5000 0.7549 0.1222
C5 0.0000 0.0000 0.3726
C6 0.0000 0.5000 0.8726

<three>
Computed, not measured: a relaxed structure of WC at the PBE-GGA level of DFT.

Values from the calculation:
- size of the total moment (Bohr magnetons per cell) = 0.000

abc: 3.1338 3.1338 6.0005
angles: 90.00 90.00 120.00
Fractional coordinates of all 4 atoms:
W1 0.3333 0.6667 0.7069
W2 0.6667 0.3333 0.2069
C1 0.3333 0.6667 0.3751
C2 0.6667 0.3333 0.8751

Which structure loses on stability? <one> does.